Computed, not measured: a geometry-optimized Ba2YCoO5 structure at the PBE with a Hubbard U level of DFT.

- Calculated volume: 16.51 Å³/atom
- Spin magnetization: 16.00 μB/cell
- E_tot: -249.29 eV/cell

Geometry as extended XYZ:
```
36
Lattice="-2.700 -3.248 6.649 1.846 -5.485 -1.930 13.568 4.908 -0.970" Properties=species:S:1:pos:R:3 pbc="T T T"
Co 6.473 -2.563 -0.813
O 5.460 -3.458 0.440
Co 13.290 -0.208 -1.333
O 0.489 -3.629 0.546
O 12.768 3.944 0.395
Y 4.700 -4.345 2.436
O 0.498 -2.905 3.765
Ba 2.949 -2.379 4.974
O 9.274 1.639 -0.328
O 6.790 -0.905 0.038
Ba 1.290 -5.492 2.494
Y 1.220 -1.903 1.809
O 7.254 -0.367 3.309
O 3.111 -2.864 2.357
Ba 4.618 -0.722 1.763
O 12.216 -0.919 -0.016
Co 6.241 -1.262 4.562
Ba 8.096 -3.103 1.986
O 4.631 -0.245 4.534
O 5.924 -2.919 3.711
O -0.054 -7.769 3.354
Ba 11.424 1.667 1.255
O 3.440 -5.464 4.077
O 12.225 -0.196 3.203
Ba 9.764 -1.446 -1.225
O 10.170 -2.851 3.648
Y 11.494 -1.922 1.940
O 2.544 -0.974 0.101
O 9.141 1.830 2.660
Y 8.014 0.520 1.313
Co -0.576 -3.617 5.082
O 9.603 -0.961 1.392
O 3.572 -5.655 1.089
Ba 9.774 -0.046 4.447
Ba 2.940 -3.779 -0.698
O 8.083 -3.580 -0.785
```